Entry from Alexandria: an optimized crystal structure of HfTi3Tc (PBE-GGA).

Summary:
Energy of formation, eV/atom: 0.45
SG: Pm-3m, No. 221
Total moment, μB per atom: 0.018
Calculated density, Mg/m³: 6.82

The structure in CIF format:
```
data_HfTi3Tc
_symmetry_space_group_name_H-M 'P 1'
_symmetry_Int_Tables_number 1
_symmetry_space_group_name_Hall 'P 1'
_cell_length_a 4.6765
_cell_length_b 4.6765
_cell_length_c 4.6765
_cell_angle_alpha 90.00
_cell_angle_beta 90.00
_cell_angle_gamma 90.00
loop_
_atom_site_label
_atom_site_fract_x
_atom_site_fract_y
_atom_site_fract_z
_atom_site_occupancy
Ti1 0.0000 0.0000 0.5000 1
Hf1 0.5000 0.5000 0.5000 1
Tc1 0.0000 0.0000 0.0000 1
Ti2 0.5000 0.0000 0.0000 1
Ti3 0.0000 0.5000 0.0000 1
```